# 1
W2SeCl: relaxed, PBE.

Calculated values
The energy relative to the elements, uncorrected is 0.68 eV per atom. As for the density of states at the Fermi level: 3.3 states/eV per cell. The calculated volume is 16.1 Å³ per atom. The total energy comes out at -28.51 eV for the cell shown. The calculation puts the energy relative to the lowest polymorph listed for this composition at 714 meV per atom.

Cell: 4.4651 4.4651 5.1715 Å, 78.82 78.82 39.54°
Last column: nearest neighbours and their distance in Å.
Fractional coordinates of all 4 atoms:
Cl (0.2500, 0.2500, 0.2500)  6 W 2.65-2.74
W (0.4934, 0.4934, 0.5046)  3 Se 2.65-2.72, 3 Cl 2.65-2.74
W (0.0066, 0.0066, 0.9954)  3 Se 2.65-2.72, 3 Cl 2.65-2.74
Se (0.7500, 0.7500, 0.7500)  6 W 2.65-2.72

---

# 2
Sc3Pb: relaxed, PBE.

Calculated values
As for the density of states at the Fermi level: 4.9 states/eV per cell. The calculated volume is 25.1 Å³ per atom. The total energy comes out at -23.14 eV for the cell shown.

Cell: 10.4116 10.4116 10.4116 Å, 18.61 18.61 18.61°
Last column: nearest neighbours and their distance in Å.
Fractional coordinates of all 4 atoms:
Sc (0.2502, 0.2502, 0.2502)  3 Pb 3.21, 9 Sc 3.22-3.37
Sc (0.5000, 0.5000, 0.5000)  12 Sc 3.22-3.37
Sc (0.7498, 0.7498, 0.7498)  3 Pb 3.21, 9 Sc 3.22-3.37
Pb (0.0000, 0.0000, 0.0000)  6 Sc 3.21, 6 Pb 3.37

---

# 3
NbIrO2F: relaxed, PBE.

Calculated values
The energy relative to the elements, uncorrected is -0.05 eV per atom. As for the density of states at the Fermi level: 4.8 states/eV per cell. The calculated volume is 13.6 Å³ per atom. The total energy comes out at -30.95 eV for the cell shown.

Cell: 3.9106 3.9106 4.4364 Å, 90.00 90.00 90.00°
Last column: nearest neighbours and their distance in Å.
Fractional coordinates of all 5 atoms:
Nb (0.5000, 0.5000, 0.5000)  4 F 2.77, 8 O 2.96
O (0.5000, 0.0000, 0.0000)  2 Ir 1.96
O (0.0000, 0.5000, 0.0000)  2 Ir 1.96
F (0.0000, 0.0000, 0.5000)  2 Ir 2.22
Ir (0.0000, 0.0000, 0.0000)  4 O 1.96

---

# 4
Ac2Al2Hg: relaxed, PBE.

Calculated values
As for the density of states at the Fermi level: 7.4 states/eV per cell. The calculated volume is 29.3 Å³ per atom. The total energy comes out at -35.73 eV for the cell shown. The calculation puts the energy relative to the lowest polymorph listed for this composition at 0 meV per atom.

Cell: 4.9236 6.2999 10.5603 Å, 85.31 76.52 67.00°
Last column: nearest neighbours and their distance in Å.
Fractional coordinates of all 10 atoms:
Al (0.0800, 0.2843, 0.5557)  1 Al 2.76, 2 Hg 2.85
Al (0.3770, 0.1345, 0.1114)  1 Al 2.76, 1 Hg 2.82
Ac (0.6850, 0.3023, 0.3278)  7 Al 3.40-3.63, 4 Hg 3.43-3.52
Ac (0.0879, 0.7262, 0.0980)  6 Al 3.37-3.56, 2 Hg 3.68, 1 Ac 3.78
Hg (0.6204, 0.1076, 0.6516)  4 Al 2.82-3.10
Al (0.6230, 0.8655, 0.8886)  1 Al 2.76, 1 Hg 2.82
Ac (0.3150, 0.6977, 0.6722)  7 Al 3.40-3.63, 4 Hg 3.43-3.52
Hg (0.3796, 0.8924, 0.3484)  4 Al 2.82-3.10
Ac (0.9121, 0.2738, 0.9020)  6 Al 3.37-3.56, 2 Hg 3.68, 1 Ac 3.78
Al (0.9200, 0.7157, 0.4443)  1 Al 2.76, 2 Hg 2.85

---

# 5
Ba2ReSi: relaxed, PBE.

Calculated values
The energy relative to the elements, uncorrected is 0.27 eV per atom. As for the density of states at the Fermi level: 3.6 states/eV per cell. The calculated volume is 29.5 Å³ per atom. The total energy comes out at -20.64 eV for the cell shown.

Cell: 3.4784 3.4784 9.7669 Å, 90.00 90.00 90.00°
Last column: nearest neighbours and their distance in Å.
Fractional coordinates of all 4 atoms:
Re (0.0000, 0.0000, 0.5845)  4 Si 2.60
Ba (0.0000, 0.0000, 0.9022)  1 Re 3.10, 4 Si 3.35
Si (0.5000, 0.5000, 0.6698)  4 Re 2.60
Ba (0.5000, 0.5000, 0.3435)  1 Si 3.19, 4 Re 3.40, 4 Ba 3.48

---

# 6
NpH2F8: relaxed, PBE.

Calculated values
The calculated volume is 14.0 Å³ per atom. The total energy comes out at -62.08 eV for the cell shown.

Cell: 5.0666 5.9119 5.9119 Å, 60.87 85.02 85.02°
Last column: nearest neighbours and their distance in Å.
Fractional coordinates of all 11 atoms:
F (0.2197, 0.3097, 0.8451)  1 Np 1.99
F (0.2197, 0.8451, 0.3097)  1 Np 1.99
F (0.7803, 0.1549, 0.6903)  1 Np 1.99
F (0.2600, 0.8335, 0.8335)  1 H 1.76
F (0.7093, 0.6690, 0.6690)  1 H 0.95
H (0.4641, 0.2858, 0.2858)  1 F 0.95
Np (0.0000, 0.0000, 0.0000)  6 F 1.99-2.04
H (0.5359, 0.7142, 0.7142)  1 F 0.95
F (0.7803, 0.6903, 0.1549)  1 Np 1.99
F (0.7400, 0.1665, 0.1665)  1 H 1.76
F (0.2907, 0.3310, 0.3310)  1 H 0.95

---

# 7
As2OsCSe: relaxed, PBE.

Calculated values
The energy relative to the elements, uncorrected is 1.88 eV per atom. As for the density of states at the Fermi level: 3.9 states/eV per cell. The calculated volume is 23.2 Å³ per atom. The total energy comes out at -23.84 eV for the cell shown. The calculation puts the energy relative to the lowest polymorph listed for this composition at 502 meV per atom.

Cell: 4.6433 4.6433 5.3767 Å, 90.00 90.00 90.00°
Last column: nearest neighbours and their distance in Å.
Fractional coordinates of all 5 atoms:
Se (0.0000, 0.0000, 0.5000)  2 Os 2.69
Os (0.0000, 0.0000, 0.0000)  4 As 2.32
C (0.5000, 0.5000, 0.5000)  4 Se 3.28, 8 As 3.55
As (0.0000, 0.5000, 0.0000)  2 Os 2.32
As (0.5000, 0.0000, 0.0000)  2 Os 2.32

---

# 8
Ca3Ni: relaxed, PBE.

Calculated values
As for the density of states at the Fermi level: 3.3 states/eV per cell. The calculated volume is 32.9 Å³ per atom. The total energy comes out at -11.27 eV for the cell shown.

Cell: 3.7293 3.6688 9.6186 Å, 90.00 90.00 90.00°
Last column: nearest neighbours and their distance in Å.
Fractional coordinates of all 4 atoms:
Ca (0.5000, 0.0000, 0.7728)  2 Ni 2.78
Ni (0.0000, 0.0000, 0.9873)  6 Ca 2.78-2.88
Ca (0.0000, 0.5000, 0.4616)  10 Ca 3.67-3.97
Ca (0.5000, 0.5000, 0.1117)  4 Ni 2.88